No. 1
# BaSb | the Alexandria database | PBE | optimized geometry
# * SG: P4/m
# * formation energy from raw total energies: -0.6389 eV per atom
# * density of states at the Fermi level: 24.06 states/eV/cell
data_BaSb
_chemical_formula_sum 'Ba8 Sb8'
_symmetry_space_group_name_H-M 'P 1'
_symmetry_Int_Tables_number 1
_cell_length_a 11.724
_cell_length_b 11.724
_cell_length_c 6.948
_cell_angle_alpha 90.00
_cell_angle_beta 90.00
_cell_angle_gamma 90.00
loop_
_symmetry_equiv_pos_as_xyz
'x,y,z'
loop_
_atom_site_label
_atom_site_fract_x
_atom_site_fract_y
_atom_site_fract_z
Ba1 0.118 0.381 0.000
Ba2 0.195 0.693 0.500
Ba3 0.307 0.195 0.500
Ba4 0.381 0.882 0.000
Ba5 0.619 0.118 0.000
Ba6 0.693 0.805 0.500
Ba7 0.805 0.307 0.500
Ba8 0.882 0.619 0.000
Sb1 0.085 0.414 0.500
Sb2 0.176 0.675 0.000
Sb3 0.325 0.176 0.000
Sb4 0.414 0.915 0.500
Sb5 0.586 0.085 0.500
Sb6 0.675 0.824 0.000
Sb7 0.824 0.325 0.000
Sb8 0.915 0.586 0.500

No. 2
# Ba5Sb | the Alexandria database | PBE | optimized geometry
# * SG: Cmmm
# * formation energy from raw total energies: -0.2827 eV per atom
# * ΔE to the lowest computed polymorph: 63 meV/atom
# * density of states at the Fermi level: 6.02 states/eV/cell
data_Ba5Sb
_chemical_formula_sum 'Ba5 Sb1'
_symmetry_space_group_name_H-M 'P 1'
_symmetry_Int_Tables_number 1
_cell_length_a 9.890
_cell_length_b 9.890
_cell_length_c 6.107
_cell_angle_alpha 90.00
_cell_angle_beta 90.00
_cell_angle_gamma 149.60
loop_
_symmetry_equiv_pos_as_xyz
'x,y,z'
loop_
_atom_site_label
_atom_site_fract_x
_atom_site_fract_y
_atom_site_fract_z
Ba1 0.000 0.000 0.000
Ba2 0.139 0.861 0.500
Ba3 0.333 0.667 0.000
Ba4 0.667 0.333 0.000
Ba5 0.861 0.139 0.500
Sb1 0.500 0.500 0.500